1.
The following is a DFT calculation (PBE-GGA) of Ti2AgSb2 after structural relaxation.

```
10
Lattice="7.6683 0.0000 0.0000 0.0000 7.6683 0.0000 0.0000 0.0000 3.5074" Properties=species:S:1:pos:R:3 pbc="T T T"
Ti 1.0528 2.7814 0.0000
Ti 2.7814 6.6156 0.0000
Ti 4.8869 1.0528 0.0000
Ti 6.6156 4.8869 0.0000
Ag 0.0000 0.0000 1.7537
Ag 3.8342 3.8342 1.7537
Sb 1.1916 5.0257 1.7537
Sb 2.6426 1.1916 1.7537
Sb 5.0257 6.4767 1.7537
Sb 6.4767 2.6426 1.7537
```

Values from the calculation:
Energy relative to the elements, uncorrected, eV/atom: -0.192
SG: P4/mbm


2.
The following is a DFT calculation (PBE-GGA) of Fe2HgP after structural relaxation.

```
4
Lattice="0.0000 3.0485 3.0485 3.0485 0.0000 3.0485 3.0485 3.0485 0.0000" Properties=species:S:1:pos:R:3 pbc="T T T"
Fe 1.5242 1.5242 1.5242
Fe 4.5727 4.5727 4.5727
Hg 0.0000 0.0000 0.0000
P 3.0485 3.0485 3.0485
```

Values from the calculation:
ΔE_f, meV/atom: 480
SG: Fm-3m


3.
The following is a DFT calculation (PBE-GGA) of YCo2Mo after structural relaxation.

```
4
Lattice="3.0999 0.0000 0.0000 0.0000 3.0999 0.0000 0.0000 0.0000 6.7889" Properties=species:S:1:pos:R:3 pbc="T T T"
Y 0.0000 0.0000 0.0000
Co 0.0000 0.0000 3.1561
Co 1.5499 1.5499 2.0856
Mo 1.5499 1.5499 4.5415
```

Values from the calculation:
ΔE_f, meV/atom: 264
SG: P4mm


What are the total magnetic moment values for these records? In order: 0.00 4.29 2.38 μB per formula unit.
What are the final energy values for these records? In order: -55.691 -20.716 -30.450 eV per cell.